A relaxed structure of Dy5PuTe6. Source: the Alexandria database, functional GGA-PBE.

CIF file:
```
data_Dy5PuTe6
_chemical_formula_sum 'Dy10 Pu2 Te12'
_space_group_name_H-M_alt 'C 1 2/m 1'
_space_group_IT_number 12
_space_group_name_Hall '-C 2y'
_cell_length_a 7.532
_cell_length_b 13.058
_cell_length_c 7.601
_cell_angle_alpha 90.00
_cell_angle_beta 109.33
_cell_angle_gamma 90.00
loop_
_atom_site_label
_atom_site_type_symbol
_atom_site_fract_x
_atom_site_fract_y
_atom_site_fract_z
Dy1 Dy 0.000 0.000 0.000
Dy2 Dy 0.000 0.168 0.500
Dy3 Dy 0.000 0.334 0.000
Pu1 Pu 0.000 0.500 0.500
Te1 Te 0.246 0.000 0.750
Te2 Te 0.247 0.168 0.247
```

- DOS at the Fermi energy: 1.275 states/eV per atom
- E_form (uncorrected): -1.26 eV per atom
- Theoretical density: 8.58 g cm⁻³

---

A relaxed structure of NiOsC. Source: the Alexandria database, functional GGA-PBE.

CIF file:
```
data_NiOsC
_chemical_formula_sum 'Ni4 Os4 C4'
_space_group_name_H-M_alt 'C 1 m 1'
_space_group_IT_number 8
_space_group_name_Hall 'C -2y'
_cell_length_a 8.704
_cell_length_b 2.709
_cell_length_c 6.255
_cell_angle_alpha 90.00
_cell_angle_beta 115.47
_cell_angle_gamma 90.00
loop_
_atom_site_label
_atom_site_type_symbol
_atom_site_fract_x
_atom_site_fract_y
_atom_site_fract_z
Ni1 Ni 0.000 0.000 0.000
Ni2 Ni 0.159 0.000 0.442
Os1 Os 0.173 0.500 0.821
Os2 Os 0.353 0.000 0.219
C1 C 0.331 0.500 0.466
C2 C 0.484 0.500 0.680
```

- Formation energy from the elements: 149 kJ/mol of formula units
- DOS at the Fermi energy: 0.692 states/eV per atom
- Theoretical density: 13.02 g cm⁻³

---

A relaxed structure of Li3Sn6Pd. Source: the Alexandria database, functional GGA-PBE.

CIF file:
```
data_Li3Sn6Pd
_chemical_formula_sum 'Li18 Sn36 Pd6'
_space_group_name_H-M_alt 'R -3'
_space_group_IT_number 148
_space_group_name_Hall '-R 3'
_cell_length_a 11.6967
_cell_length_b 11.6967
_cell_length_c 11.6974
_cell_angle_alpha 90.00
_cell_angle_beta 90.00
_cell_angle_gamma 120.00
loop_
_atom_site_label
_atom_site_type_symbol
_atom_site_fract_x
_atom_site_fract_y
_atom_site_fract_z
Li1 Li 0.0373 0.1663 0.1906
Sn1 Sn 0.0563 0.2514 0.4245
Sn2 Sn 0.0570 0.2633 0.9259
Pd1 Pd 0.0000 0.0000 0.0000
Pd2 Pd 0.0000 0.0000 0.5000
```

- Formation energy from the elements: -218 kJ/mol of formula units
- DOS at the Fermi energy: 0.327 states/eV per atom
- Theoretical density: 6.03 g cm⁻³

---

A relaxed structure of TbDyEr4. Source: the Alexandria database, functional GGA-PBE.

CIF file:
```
data_TbDyEr4
_chemical_formula_sum 'Tb4 Dy4 Er16'
_space_group_name_H-M_alt 'F -4 3 m'
_space_group_IT_number 216
_space_group_name_Hall 'F -4 2 3'
_cell_length_a 9.196
_cell_length_b 9.196
_cell_length_c 9.196
_cell_angle_alpha 90.00
_cell_angle_beta 90.00
_cell_angle_gamma 90.00
loop_
_atom_site_label
_atom_site_type_symbol
_atom_site_fract_x
_atom_site_fract_y
_atom_site_fract_z
Tb1 Tb 0.000 0.000 0.000
Dy1 Dy 0.250 0.250 0.250
Er1 Er 0.125 0.125 0.625
```

- Formation energy from the elements: 160 kJ/mol of formula units
- DOS at the Fermi energy: 1.882 states/eV per atom
- Theoretical density: 8.46 g cm⁻³